Entry 1:
Er5Te2Pb2: relaxed, PBE.

Summary:
E_form (uncorrected) (eV per atom): -0.597
ΔE to the lowest computed polymorph (meV/atom): 191.1
Space group: Ima2, No. 46
Total DFT energy (no corrections) (eV/atom): -4.654

a = 10.293 Å, b = 10.293 Å, c = 10.293 Å
α = 65.97°, β = 135.98°, γ = 133.49°
Element x y z (fractional)
Er1 0.088 0.017 0.570
Er2 0.228 0.055 0.283
Er3 0.228 0.445 0.672
Er4 0.447 0.517 0.430
Er5 0.480 0.765 0.024
Er6 0.480 0.956 0.214
Er7 0.741 0.265 0.786
Er8 0.741 0.456 0.976
Er9 0.772 0.555 0.328
Er10 0.772 0.945 0.717
Te1 0.734 0.234 0.500
Te2 0.734 0.734 0.000
Te3 0.885 0.181 0.204
Te4 0.977 0.681 0.796
Pb1 0.223 0.358 0.042
Pb2 0.223 0.681 0.365
Pb3 0.316 0.181 0.958
Pb4 0.316 0.858 0.635



Entry 2:
ErTePb: relaxed, PBE.

Summary:
E_form (uncorrected) (eV per atom): -0.586
Space group: P-62m, No. 189
Total DFT energy (no corrections) (eV/atom): -4.390

a = 8.853 Å, b = 8.853 Å, c = 3.935 Å
α = 90.00°, β = 90.00°, γ = 120.00°
Element x y z (fractional)
Er1 0.000 0.000 0.000
Er2 0.333 0.667 0.500
Er3 0.667 0.333 0.500
Te1 0.000 0.735 0.500
Te2 0.265 0.265 0.500
Te3 0.735 0.000 0.500
Pb1 0.000 0.433 0.000
Pb2 0.433 0.000 0.000
Pb3 0.567 0.567 0.000



Entry 3:
Er3TePb2: relaxed, PBE.

Summary:
E_form (uncorrected) (eV per atom): -0.707
Space group: Immm, No. 71
Total DFT energy (no corrections) (eV/atom): -4.748

a = 7.923 Å, b = 7.923 Å, c = 7.923 Å
α = 149.94°, β = 133.65°, γ = 56.24°
Element x y z (fractional)
Er1 0.000 0.000 0.000
Er2 0.334 0.334 0.000
Er3 0.666 0.666 0.000
Te1 0.500 0.000 0.500
Pb1 0.166 0.666 0.500
Pb2 0.834 0.334 0.500



Number 1: M_tot 0.0 μB/cell. Number 2: M_tot 0.0 μB/cell. Number 3: M_tot 0.0 μB/cell.